Record 1
Here is a relaxed Co3Ir4Rh2 crystal from Alexandria. Energies are from PBE.

Results
Energy of formation from the pure elements   0.023 eV/atom
Space-group type   C2/m
Calculated density   15.9 g/cm3
DOS at the Fermi energy   11.43 states/eV/f.u.

Cell lengths 2.6977, 4.6137, 10.2057 Å; angles 89.20, 82.41, 73.00 degrees
Each line ends with the local moment (μB).
Atoms (fractional coordinates):
Rh  0.6666  0.8926  0.7742  0.12
Rh  0.3334  0.1074  0.2258  0.12
Ir  0.3343  0.4416  0.8898  0.10
Ir  0.9977  0.6610  0.3435  0.22
Ir  0.0023  0.3390  0.6565  0.22
Ir  0.6657  0.5584  0.1102  0.10
Co  0.0000  0.0000  0.0000  1.65
Co  0.3325  0.7832  0.5519  1.55
Co  0.6675  0.2168  0.4481  1.55



Record 2
Here is a relaxed CoIr2Rh9 crystal from Alexandria. Energies are from PBE.

Results
Energy of formation from the pure elements   0.014 eV/atom
Space-group type   P4/mmm
Calculated density   13.5 g/cm3
DOS at the Fermi energy   15.23 states/eV/f.u.

Cell lengths 3.8304, 3.8304, 11.4545 Å; angles 90.00, 90.00, 90.00 degrees
Each line ends with the local moment (μB).
Atoms (fractional coordinates):
Rh  0.5000  0.5000  0.0000  0.26
Rh  0.5000  0.0000  0.5000  -0.07
Rh  0.5000  0.0000  0.8369  0.11
Rh  0.5000  0.0000  0.1631  0.11
Rh  0.0000  0.5000  0.5000  -0.07
Rh  0.5000  0.5000  0.6672  -0.03
Rh  0.5000  0.5000  0.3328  -0.03
Rh  0.0000  0.5000  0.8369  0.11
Rh  0.0000  0.5000  0.1631  0.11
Ir  0.0000  0.0000  0.6697  -0.11
Ir  0.0000  0.0000  0.3303  -0.11
Co  0.0000  0.0000  0.0000  1.72